# InP2SI, optimized geometry, DFT GGA-PBEsol
# * E_form (uncorrected): 1.1037 eV per atom
# * magnetization: 0.00 μB/cell
data_InP2SI
_cell_length_a 5.0908
_cell_length_b 5.0908
_cell_length_c 5.0611
_cell_angle_alpha 90.00
_cell_angle_beta 90.00
_cell_angle_gamma 90.00
_space_group_name_H-M_alt 'P 4/m m m'
_space_group_IT_number 123
_space_group_name_Hall '-P 4 2'
loop_
_atom_site_label
_atom_site_fract_x
_atom_site_fract_y
_atom_site_fract_z
In1 0.0000 0.0000 0.0000
P1 0.0000 0.5000 0.5000
S1 0.5000 0.5000 0.0000
I1 0.5000 0.5000 0.5000